Material: YIn2Au2
Method: DFT, PBE
State: optimized geometry

The structure in CIF format:
```
data_YIn2Au2
_chemical_formula_sum 'Y2 In4 Au4'
_cell_length_a 4.909
_cell_length_b 4.941
_cell_length_c 9.875
_cell_angle_alpha 90.00
_cell_angle_beta 90.00
_cell_angle_gamma 90.00
_space_group_name_H-M_alt 'P m m n'
_space_group_IT_number 59
loop_
_space_group_symop_operation_xyz
'x,y,z'
'-x,-y,-z'
'-x+1/2,-y+1/2,z'
'x+1/2,y+1/2,-z'
'x+1/2,-y,-z'
'-x+1/2,y,z'
'-x,y+1/2,-z'
'x,-y+1/2,z'
loop_
_atom_site_label
_atom_site_fract_x
_atom_site_fract_y
_atom_site_fract_z
Y1 0.250 0.250 0.176
In1 0.250 0.250 0.510
In2 0.250 0.250 0.828
Au1 0.250 0.750 0.015
Au2 0.250 0.750 0.655
```

Calculated values
**Formation energy**: -0.541 eV per atom
**Total energy**: -21.200 eV per formula unit
**Total magnetization**: 0.00 μB/f.u.
**DOS at the Fermi energy**: 1.244 states/eV/f.u.